This record from the Alexandria database describes an optimized crystal structure of K3Na2In9. The functional is PBE-GGA.

The symmetry is Immm (71). As for the total magnetization: 0.000 μB per atom. The calculation puts the formation enthalpy at 0 K at -1.806 eV per formula unit. The calculation puts the density of states at the Fermi level at 0.53 states/eV per atom.

Cell: 9.8603 9.8603 9.8603 Å, 149.83 113.15 75.07°
With the nearest neighbours (Å) after each atom.
Atoms (fractional coordinates):
K 0.0000 0.0000 0.0000  12 In 3.73-4.02
K 0.3018 0.3018 0.0000  14 In 3.61-4.02, 2 Na 3.75
K 0.6982 0.6982 0.0000  14 In 3.61-4.02, 2 Na 3.75
Na 0.3059 0.5000 0.8059  8 In 3.24-3.37
Na 0.6941 0.5000 0.1941  8 In 3.24-3.37
In 0.0320 0.6725 0.3594  4 In 3.03-3.08, 1 Na 3.24
In 0.1420 0.8618 0.2802  4 In 3.03-3.22, 2 Na 3.37
In 0.3131 0.6725 0.6406  4 In 3.03-3.08, 1 Na 3.24
In 0.4184 0.1382 0.2802  4 In 3.03-3.22, 2 Na 3.37
In 0.5000 0.0000 0.5000  4 In 3.22, 4 Na 3.32
In 0.5816 0.8618 0.7198  4 In 3.03-3.22, 2 Na 3.37
In 0.6869 0.3275 0.3594  4 In 3.03-3.08, 1 Na 3.24
In 0.8580 0.1382 0.7198  4 In 3.03-3.22, 2 Na 3.37
In 0.9680 0.3275 0.6406  4 In 3.03-3.08, 1 Na 3.24